No. 1
Compound: SmCd2
Source: Alexandria via LeMat-Bulk
Functional: GGA-PBE
Structure: relaxed

abc: 5.966 5.966 5.966
angles: 60.00 60.00 60.00
Positions (direct):
Cd: 0.625 0.625 0.625
Cd: 0.125 0.625 0.625
Cd: 0.625 0.125 0.625
Cd: 0.625 0.625 0.125
Sm: 0.250 0.250 0.250
Sm: 0.000 0.000 0.000

Formation energy in eV per atom: -0.288
Uncorrected energy in hartree per atom: -0.0908

No. 2
Compound: Sm3Cd2
Source: Alexandria via LeMat-Bulk
Functional: GGA-PBE
Structure: relaxed

abc: 5.262 8.343 11.248
angles: 90.19 90.00 108.38
Positions (direct):
Sm: 0.506 0.012 0.660
Sm: 0.494 0.988 0.340
Sm: 0.827 0.654 0.006
Sm: 0.173 0.346 0.994
Sm: 0.840 0.679 0.327
Sm: 0.500 0.000 0.000
Sm: 0.833 0.666 0.667
Sm: 0.160 0.321 0.673
Sm: 0.167 0.334 0.333
Cd: 0.006 0.011 0.162
Cd: 0.672 0.344 0.495
Cd: 0.339 0.678 0.828
Cd: 0.328 0.656 0.505
Cd: 0.994 0.989 0.838
Cd: 0.661 0.322 0.172

Formation energy in eV per atom: -0.083
Uncorrected energy in hartree per atom: -0.1206
Energy relative to the lowest polymorph listed for this composition in eV/atom: 0.156

No. 3
Compound: Sm2Cd17
Source: Alexandria via LeMat-Bulk
Functional: GGA-PBE
Structure: relaxed

abc: 7.663 7.663 7.663
angles: 82.14 82.14 82.14
Positions (direct):
Cd: 0.301 0.000 0.699
Cd: 0.899 0.899 0.899
Cd: 0.101 0.101 0.101
Cd: 0.301 0.699 0.000
Cd: 0.360 0.838 0.360
Cd: 0.000 0.000 0.500
Cd: 0.000 0.500 0.000
Cd: 0.640 0.162 0.640
Cd: 0.000 0.699 0.301
Cd: 0.162 0.640 0.640
Cd: 0.640 0.640 0.162
Cd: 0.360 0.360 0.838
Cd: 0.838 0.360 0.360
Cd: 0.500 0.000 0.000
Cd: 0.000 0.301 0.699
Cd: 0.699 0.000 0.301
Cd: 0.699 0.301 0.000
Sm: 0.670 0.670 0.670
Sm: 0.330 0.330 0.330

Formation energy in eV per atom: -0.137
Uncorrected energy in hartree per atom: -0.0534

No. 4
Compound: Sm3Cd2
Source: Alexandria via LeMat-Bulk
Functional: GGA-PBE
Structure: relaxed

abc: 3.757 3.757 20.567
angles: 90.00 90.00 90.00
Positions (direct):
Sm: 0.000 0.000 0.121
Sm: 0.000 0.000 0.500
Sm: 0.000 0.000 0.689
Sm: 0.500 0.500 0.000
Sm: 0.000 0.000 0.311
Sm: 0.000 0.000 0.879
Cd: 0.500 0.500 0.595
Cd: 0.500 0.500 0.215
Cd: 0.500 0.500 0.405
Cd: 0.500 0.500 0.785

Formation energy in eV per atom: -0.239
Uncorrected energy in hartree per atom: -0.1263
Energy relative to the lowest polymorph listed for this composition in eV/atom: 0.000

No. 5
Compound: Sm13Cd2
Source: Alexandria via LeMat-Bulk
Functional: GGA-PBE
Structure: relaxed

abc: 6.812 8.734 9.103
angles: 114.12 79.87 97.53
Positions (direct):
Sm: 0.499 0.861 0.796
Sm: 0.695 0.657 0.026
Sm: 0.363 0.586 0.393
Sm: 0.127 0.525 0.739
Sm: 0.000 0.000 0.000
Sm: 0.637 0.414 0.607
Sm: 0.305 0.343 0.974
Sm: 0.501 0.139 0.204
Sm: 0.802 0.234 0.845
Sm: 0.198 0.766 0.155
Sm: 0.748 0.939 0.420
Sm: 0.873 0.475 0.261
Sm: 0.252 0.061 0.580
Cd: 0.942 0.768 0.619
Cd: 0.058 0.232 0.381

Formation energy in eV per atom: -0.042
Uncorrected energy in hartree per atom: -0.1563

No. 6
Compound: Sm2Cd7
Source: Alexandria via LeMat-Bulk
Functional: GGA-PBE
Structure: relaxed

abc: 5.965 5.965 14.713
angles: 78.30 78.30 60.00
Positions (direct):
Cd: 0.616 0.616 0.663
Cd: 0.616 0.105 0.663
Cd: 0.500 0.500 0.500
Cd: 0.500 0.500 0.000
Cd: 0.722 0.722 0.833
Cd: 0.390 0.390 0.830
Cd: 0.610 0.610 0.170
Cd: 0.105 0.616 0.663
Cd: 0.000 0.500 0.000
Cd: 0.384 0.384 0.337
Cd: 0.500 0.000 0.000
Cd: 0.384 0.895 0.337
Cd: 0.895 0.384 0.337
Cd: 0.278 0.278 0.167
Sm: 0.150 0.150 0.550
Sm: 0.948 0.948 0.155
Sm: 0.052 0.052 0.845
Sm: 0.850 0.850 0.450

Formation energy in eV per atom: -0.204
Uncorrected energy in hartree per atom: -0.0722
Energy relative to the lowest polymorph listed for this composition in eV/atom: 0.030

Q: What is the uncorrected energy in the fourth record?
A: -0.1263 hartree per atom